1.
A geometry-optimized MgBe2Tl structure. Source: Alexandria via LeMat-Bulk, functional PBE.

- Offset from the most stable computed form: 0.2062 eV/atom

a = 7.019 Å, b = 4.087 Å, c = 3.848 Å
α = 90.00°, β = 56.75°, γ = 126.91°
Sites, in units of the cell vectors:
Be1 0.500 0.000 0.500
Tl1 0.500 0.500 0.000
Mg1 0.000 0.500 0.500
Be2 0.000 0.000 0.000


2.
A geometry-optimized MgBe2Tl structure. Source: Alexandria via LeMat-Bulk, functional PBE.

- Offset from the most stable computed form: 0.3008 eV/atom

a = 4.514 Å, b = 4.514 Å, c = 4.514 Å
α = 60.00°, β = 60.00°, γ = 60.00°
Sites, in units of the cell vectors:
Tl1 0.500 0.500 0.500
Be1 0.250 0.250 0.250
Mg1 0.000 0.000 0.000
Be2 0.750 0.750 0.750


3.
A geometry-optimized MgBeTl2 structure. Source: Alexandria via LeMat-Bulk, functional PBE.

- Offset from the most stable computed form: 0.2007 eV/atom

a = 5.097 Å, b = 5.097 Å, c = 5.097 Å
α = 60.00°, β = 60.00°, γ = 60.00°
Sites, in units of the cell vectors:
Be1 0.500 0.500 0.500
Tl1 0.000 0.000 0.000
Mg1 0.750 0.750 0.750
Tl2 0.250 0.250 0.250


4.
A geometry-optimized MgBeTl2 structure. Source: Alexandria via LeMat-Bulk, functional PBE.

- Offset from the most stable computed form: 0.0399 eV/atom

a = 9.382 Å, b = 9.382 Å, c = 9.382 Å
α = 20.83°, β = 20.83°, γ = 20.83°
Sites, in units of the cell vectors:
Tl1 0.234 0.234 0.234
Mg1 0.764 0.764 0.764
Be1 0.497 0.497 0.497
Tl2 0.004 0.004 0.004


5.
A geometry-optimized YMgBeTl2 structure. Source: Alexandria via LeMat-Bulk, functional PBE.

a = 5.933 Å, b = 5.104 Å, c = 5.933 Å
α = 90.00°, β = 90.00°, γ = 90.00°
Sites, in units of the cell vectors:
Tl1 0.000 0.000 0.500
Be1 0.000 0.500 0.000
Tl2 0.500 0.000 0.000
Mg1 0.500 0.500 0.500
Y1 0.000 0.000 0.000


6.
A geometry-optimized Tm2MgBe structure. Source: Alexandria via LeMat-Bulk, functional PBE.

- Offset from the most stable computed form: 0.1023 eV/atom

a = 3.650 Å, b = 4.967 Å, c = 4.967 Å
α = 90.00°, β = 90.00°, γ = 90.00°
Sites, in units of the cell vectors:
Mg1 0.500 0.000 0.000
Tm1 0.000 0.500 0.000
Tm2 0.000 0.000 0.500
Be1 0.500 0.500 0.500


7.
A geometry-optimized Tm2MgBe structure. Source: Alexandria via LeMat-Bulk, functional PBE.

- Offset from the most stable computed form: 0.0000 eV/atom

a = 3.384 Å, b = 3.384 Å, c = 7.919 Å
α = 90.00°, β = 90.00°, γ = 90.00°
Sites, in units of the cell vectors:
Tm1 0.000 0.000 0.795
Be1 0.500 0.500 0.000
Mg1 0.500 0.500 0.500
Tm2 0.000 0.000 0.205


8.
A geometry-optimized Tm2MgBe structure. Source: Alexandria via LeMat-Bulk, functional PBE.

- Offset from the most stable computed form: 0.6909 eV/atom

a = 3.281 Å, b = 3.281 Å, c = 11.237 Å
α = 81.61°, β = 81.61°, γ = 60.00°
Sites, in units of the cell vectors:
Mg1 0.500 0.500 0.500
Tm1 0.914 0.914 0.259
Be1 0.000 0.000 0.000
Tm2 0.086 0.086 0.741


9.
A geometry-optimized Tm2MgBe structure. Source: Alexandria via LeMat-Bulk, functional PBE.

- Offset from the most stable computed form: 0.0951 eV/atom

a = 5.025 Å, b = 5.025 Å, c = 5.025 Å
α = 60.00°, β = 60.00°, γ = 60.00°
Sites, in units of the cell vectors:
Mg1 0.000 0.000 0.000
Tm1 0.250 0.250 0.250
Tm2 0.750 0.750 0.750
Be1 0.500 0.500 0.500


10.
A geometry-optimized TmMgBe structure. Source: Alexandria via LeMat-Bulk, functional PBE.

a = 5.354 Å, b = 5.354 Å, c = 5.516 Å
α = 104.42°, β = 104.42°, γ = 119.14°
Sites, in units of the cell vectors:
Tm1 0.327 0.673 0.000
Mg1 0.163 0.163 0.326
Be1 0.250 0.750 0.500
Be2 0.750 0.250 0.500
Tm2 0.673 0.327 0.000
Mg2 0.837 0.837 0.674


11.
A geometry-optimized YTmMgBe structure. Source: Alexandria via LeMat-Bulk, functional PBE.

a = 5.069 Å, b = 5.069 Å, c = 5.069 Å
α = 60.00°, β = 60.00°, γ = 60.00°
Sites, in units of the cell vectors:
Y1 0.000 0.000 0.000
Be1 0.750 0.750 0.750
Mg1 0.250 0.250 0.250
Tm1 0.500 0.500 0.500


12.
A geometry-optimized TmMgBeZn structure. Source: Alexandria via LeMat-Bulk, functional PBE.

a = 4.666 Å, b = 4.666 Å, c = 4.666 Å
α = 60.00°, β = 60.00°, γ = 60.00°
Sites, in units of the cell vectors:
Tm1 0.750 0.750 0.750
Be1 0.500 0.500 0.500
Mg1 0.250 0.250 0.250
Zn1 0.000 0.000 0.000


13.
A geometry-optimized MgBeV3 structure. Source: Alexandria via LeMat-Bulk, functional PBE.

- Offset from the most stable computed form: 1.4093 eV/atom

a = 4.447 Å, b = 4.447 Å, c = 4.447 Å
α = 90.00°, β = 90.00°, γ = 90.00°
Each line ends with the local moment (μB).
Sites, in units of the cell vectors:
Mg1 0.000 0.000 0.000  0.00
Be1 0.500 0.500 0.500  -0.01
V1 0.000 0.000 0.500  0.17
V2 0.500 0.000 0.000  0.17
V3 0.000 0.500 0.000  0.17


14.
A geometry-optimized Mg3BeV structure. Source: Alexandria via LeMat-Bulk, functional PBE.

- Offset from the most stable computed form: 0.0000 eV/atom

a = 4.688 Å, b = 4.688 Å, c = 4.688 Å
α = 90.00°, β = 90.00°, γ = 90.00°
Each line ends with the local moment (μB).
Sites, in units of the cell vectors:
Mg1 0.500 0.000 0.000  -0.01
Mg2 0.000 0.000 0.500  -0.01
Mg3 0.000 0.500 0.000  -0.01
V1 0.500 0.500 0.500  2.98
Be1 0.000 0.000 0.000  -0.07


15.
A geometry-optimized MgBeV2 structure. Source: Alexandria via LeMat-Bulk, functional PBE.

- Offset from the most stable computed form: 0.0000 eV/atom

a = 4.245 Å, b = 4.245 Å, c = 4.245 Å
α = 60.00°, β = 60.00°, γ = 60.00°
Each line ends with the local moment (μB).
Sites, in units of the cell vectors:
V1 0.250 0.250 0.250  0.28
Mg1 0.500 0.500 0.500  0.00
V2 0.750 0.750 0.750  0.28
Be1 0.000 0.000 0.000  -0.01


no.,formation enthalpy at 0 K (eV/atom),DOS at the Fermi energy (states/eV/cell)
1,0.562,1.3
2,0.657,2.2
3,0.530,2.3
4,0.369,1.0
5,0.941,4.9
6,0.097,3.7
7,-0.005,3.4
8,0.686,4.0
9,0.090,3.8
10,0.154,2.5
11,0.079,4.0
12,-0.094,2.0
13,2.055,7.3
14,0.691,4.1
15,0.526,4.7